# 1
## Ce2Pr5Pb4 (PBE-GGA)

Data for a relaxed Ce2Pr5Pb4 crystal.

The structure in POSCAR format:
```
Ce2Pr5Pb4
1.0
11.869 -1.791 0.000
11.869 1.791 0.000
-0.537 0.000 8.449
Ce Pr Pb
2 5 4
Cartesian
5.371 0.000 2.797
17.832 0.000 5.652
-0.268 0.000 4.225
7.599 0.000 0.106
8.493 0.000 3.744
14.709 0.000 4.706
15.604 0.000 8.344
2.077 0.000 1.843
10.863 0.000 1.255
12.340 0.000 7.195
21.125 0.000 6.606
```

Computed properties:
Crystal system   monoclinic
Energy of formation   -0.54 eV/f.u.



# 2
## CePrPb (PBE-GGA)

Data for a relaxed CePrPb crystal.

The structure in POSCAR format:
```
CePrPb
1.0
4.539 0.000 0.000
2.265 5.100 0.000
0.012 1.933 8.591
Ce Pr Pb
2 2 2
Cartesian
1.140 2.291 3.739
5.677 4.743 4.852
3.405 5.945 7.505
3.412 1.088 1.086
3.408 4.257 2.387
3.409 2.776 6.204
```

Computed properties:
Crystal system   triclinic
Energy of formation   -0.77 eV/f.u.



# 3
## Ce2Pr2Pb3 (PBE-GGA)

Data for a relaxed Ce2Pr2Pb3 crystal.

The structure in POSCAR format:
```
Ce2Pr2Pb3
1.0
8.172 -2.328 0.000
8.172 2.328 0.000
-1.146 0.000 6.145
Ce Pr Pb
2 2 3
Cartesian
1.334 0.000 0.275
13.865 0.000 5.870
5.360 0.000 2.488
9.839 0.000 3.657
-0.573 0.000 3.072
3.521 0.000 5.135
11.677 0.000 1.009
```

Computed properties:
Crystal system   monoclinic
Energy of formation   -2.24 eV/f.u.



# 4
## Ce2PrPb (PBE-GGA)

Data for a relaxed Ce2PrPb crystal.

The structure in POSCAR format:
```
Ce2PrPb
1.0
0.000 3.934 3.934
3.934 0.000 3.934
3.934 3.934 0.000
Ce Pr Pb
2 1 1
Cartesian
1.967 1.967 1.967
5.900 5.900 5.900
0.000 0.000 0.000
3.934 3.934 3.934
```

Computed properties:
Crystal system   cubic
Energy of formation   -0.18 eV/f.u.